VASP calculation (PBE) on a relaxed structure of CrTe2CN.

## Properties
Total energy = -5.605 eV per atom
DOS(E_F) = 0.479 states/eV per atom
ρ = 5.6 g/cm3
Offset from the most stable computed form = 0.000 eV per atom
Space-group type = No. 123
ΔE_f (raw) = 1.09 eV per atom

a b c (Å): 6.126 6.126 2.641
angles (deg): 90.00 90.00 90.00
Last column: magnetic moment on the atom in μB.
Element x y z (fractional)
Cr (0.500, 0.500, 0.500)  3.86
C (0.000, 0.000, 0.000)  0.00
Te (0.000, 0.500, 0.000)  -0.05
Te (0.500, 0.000, 0.000)  -0.05
N (0.000, 0.000, 0.500)  0.01

VASP calculation (PBE) on a relaxed structure of La2Zn5Ag12.

## Properties
Total energy = -2.786 eV per atom
DOS(E_F) = 0.622 states/eV per atom
ρ = 8.6 g/cm3
DFT formation energy = -13 kJ per mole of atoms
Space-group type = No. 166

a b c (Å): 7.224 7.224 7.224
angles (deg): 82.65 82.65 82.65
Element x y z (fractional)
La (0.652, 0.652, 0.652)
La (0.348, 0.348, 0.348)
Zn (0.000, 0.000, 0.500)
Zn (0.000, 0.500, 0.000)
Zn (0.500, 0.000, 0.000)
Zn (0.901, 0.901, 0.901)
Zn (0.099, 0.099, 0.099)
Ag (0.300, 0.700, 0.000)
Ag (0.700, 0.000, 0.300)
Ag (0.000, 0.300, 0.700)
Ag (0.700, 0.300, 0.000)
Ag (0.300, 0.000, 0.700)
Ag (0.000, 0.700, 0.300)
Ag (0.343, 0.343, 0.858)
Ag (0.343, 0.858, 0.343)
Ag (0.858, 0.343, 0.343)
Ag (0.657, 0.142, 0.657)
Ag (0.657, 0.657, 0.142)
Ag (0.142, 0.657, 0.657)

VASP calculation (PBE) on a relaxed structure of KLiSi2.

## Properties
Total energy = -3.451 eV per atom
DOS(E_F) = 0.419 states/eV per atom
ρ = 1.7 g/cm3
Offset from the most stable computed form = 0.000 eV per atom
Space-group type = No. 12
ΔE_f (raw) = 0.01 eV per atom

a b c (Å): 4.762 4.762 6.499
angles (deg): 73.25 73.25 46.87
Element x y z (fractional)
K (0.750, 0.750, 0.750)
Li (0.250, 0.250, 0.250)
Si (0.974, 0.974, 0.154)
Si (0.526, 0.526, 0.346)

VASP calculation (PBE) on a relaxed structure of La2AlBi.

## Properties
Total energy = -4.942 eV per atom
DOS(E_F) = 0.756 states/eV per atom
ρ = 7.1 g/cm3
DFT formation energy = -55 kJ per mole of atoms
Offset from the most stable computed form = 0.000 eV per atom
Space-group type = No. 123

a b c (Å): 4.134 4.134 7.078
angles (deg): 90.00 90.00 90.00
Element x y z (fractional)
Al (0.500, 0.500, 0.500)
Bi (0.500, 0.500, 0.000)
La (0.000, 0.000, 0.749)
La (0.000, 0.000, 0.251)

VASP calculation (PBE) on a relaxed structure of CoSbBr2.

## Properties
Total energy = -3.614 eV per atom
DOS(E_F) = 0.441 states/eV per atom
ρ = 4.8 g/cm3
Offset from the most stable computed form = 0.164 eV per atom
Space-group type = No. 12
ΔE_f (raw) = 0.03 eV per atom

a b c (Å): 7.778 7.778 4.695
angles (deg): 79.27 79.27 25.27
Last column: magnetic moment on the atom in μB.
Element x y z (fractional)
Br (0.117, 0.117, 0.915)  0.04
Br (0.383, 0.383, 0.585)  0.04
Co (0.750, 0.750, 0.750)  1.66
Sb (0.250, 0.250, 0.250)  -0.01

VASP calculation (PBE) on a relaxed structure of HfMg5.

## Properties
Total energy = -2.944 eV per atom
DOS(E_F) = 0.507 states/eV per atom
ρ = 3.7 g/cm3
DFT formation energy = 4 kJ per mole of atoms
Space-group type = No. 123

a b c (Å): 3.230 3.230 12.802
angles (deg): 90.00 90.00 90.00
Element x y z (fractional)
Hf (0.500, 0.500, 0.000)
Mg (0.000, 0.000, 0.835)
Mg (0.000, 0.000, 0.165)
Mg (0.500, 0.500, 0.667)
Mg (0.500, 0.500, 0.333)
Mg (0.000, 0.000, 0.500)

VASP calculation (PBE) on a relaxed structure of GaBrF.

## Properties
Total energy = -3.597 eV per atom
ρ = 4.5 g/cm3
Offset from the most stable computed form = 0.101 eV per atom
Space-group type = No. 8
ΔE_f (raw) = -1.41 eV per atom

a b c (Å): 3.964 6.089 6.221
angles (deg): 62.55 89.99 71.00
Element x y z (fractional)
Ga (0.760, 0.880, 0.958)
Ga (0.734, 0.931, 0.338)
Br (0.002, 0.397, 0.129)
Br (0.391, 0.618, 0.556)
F (0.229, 0.941, 0.911)
F (0.688, 0.024, 0.601)

VASP calculation (PBE) on a relaxed structure of Pr3TmSc2Te6.

## Properties
Total energy = -5.476 eV per atom
DOS(E_F) = 0.520 states/eV per atom
ρ = 6.8 g/cm3
Space-group type = No. 12
ΔE_f (raw) = -1.28 eV per atom

a b c (Å): 4.304 8.897 9.860
angles (deg): 105.23 102.61 90.00
Element x y z (fractional)
Pr (0.500, 0.500, 0.000)
Pr (0.836, 0.171, 0.672)
Pr (0.164, 0.829, 0.328)
Tm (0.500, 0.000, 0.000)
Sc (0.832, 0.665, 0.664)
Sc (0.168, 0.335, 0.336)
Te (0.336, 0.900, 0.673)
Te (0.673, 0.566, 0.346)
Te (0.664, 0.100, 0.327)
Te (0.008, 0.241, 0.017)
Te (0.992, 0.759, 0.983)
Te (0.327, 0.434, 0.654)

VASP calculation (PBE) on a relaxed structure of Ac3Pr7Sm2.

## Properties
Total energy = -4.395 eV per atom
DOS(E_F) = 1.537 states/eV per atom
ρ = 6.8 g/cm3
DFT formation energy = 20 kJ per mole of atoms
Offset from the most stable computed form = 0.129 eV per atom
Space-group type = No. 10

a b c (Å): 3.828 5.935 21.121
angles (deg): 90.00 95.24 90.00
Element x y z (fractional)
Ac (0.500, 0.500, 0.000)
Ac (0.821, 0.000, 0.645)
Ac (0.179, 0.000, 0.355)
Pr (0.283, 0.500, 0.565)
Pr (0.717, 0.500, 0.435)
Pr (0.410, 0.000, 0.825)
Pr (0.000, 0.000, 0.000)
Pr (0.590, 0.000, 0.175)
Pr (0.072, 0.500, 0.142)
Pr (0.928, 0.500, 0.858)
Sm (0.358, 0.500, 0.720)
Sm (0.642, 0.500, 0.280)

VASP calculation (PBE) on a relaxed structure of CeMgMnRu.

## Properties
Total energy = -6.489 eV per atom
DOS(E_F) = 0.837 states/eV per atom
ρ = 7.4 g/cm3
DFT formation energy = 0 kJ per mole of atoms
Space-group type = No. 216

a b c (Å): 4.665 4.665 4.665
angles (deg): 60.00 60.00 60.00
Last column: magnetic moment on the atom in μB.
Element x y z (fractional)
Ru (0.000, 0.000, 0.000)  0.14
Mg (0.250, 0.250, 0.250)  -0.03
Mn (0.500, 0.500, 0.500)  2.99
Ce (0.750, 0.750, 0.750)  -0.45

VASP calculation (PBE) on a relaxed structure of Er8CdCo2.

## Properties
Total energy = -4.795 eV per atom
DOS(E_F) = 1.065 states/eV per atom
ρ = 9.1 g/cm3
DFT formation energy = -10 kJ per mole of atoms
Space-group type = No. 12

a b c (Å): 5.297 7.758 7.758
angles (deg): 113.43 97.21 97.21
Element x y z (fractional)
Er (0.924, 0.933, 0.669)
Er (0.924, 0.669, 0.933)
Er (0.301, 0.615, 0.615)
Er (0.500, 0.750, 0.250)
Er (0.500, 0.250, 0.750)
Er (0.699, 0.385, 0.385)
Er (0.076, 0.331, 0.067)
Er (0.076, 0.067, 0.331)
Cd (0.500, 0.000, 0.000)
Co (0.000, 0.309, 0.691)
Co (0.000, 0.691, 0.309)

VASP calculation (PBE) on a relaxed structure of In2FeIr2.

## Properties
Total energy = -6.291 eV per atom
DOS(E_F) = 0.709 states/eV per atom
ρ = 12.4 g/cm3
DFT formation energy = 4 kJ per mole of atoms
Space-group type = No. 127

a b c (Å): 6.577 6.577 4.136
angles (deg): 90.00 90.00 90.00
Last column: magnetic moment on the atom in μB.
Element x y z (fractional)
Ir (0.360, 0.860, 0.000)  0.16
Ir (0.860, 0.640, 0.000)  0.15
Ir (0.640, 0.140, 0.000)  0.16
Ir (0.140, 0.360, 0.000)  0.15
Fe (0.000, 0.000, 0.000)  2.97
Fe (0.500, 0.500, 0.000)  2.96
In (0.169, 0.669, 0.500)  -0.01
In (0.669, 0.831, 0.500)  -0.01
In (0.831, 0.331, 0.500)  -0.01
In (0.331, 0.169, 0.500)  -0.01